{"formula": "NaV2TcO8", "functional": "GGA+U", "state": "relaxed", "lattice": [[-3.226, 4.578, 1.227], [-1.336, -4.883, 2.692], [5.322, 1.323, 1.673]], "species": ["O", "O", "O", "O", "O", "O", "O", "O", "Tc", "V", "V", "Na"], "frac_coords": [[0.455, 0.664, 0.791], [0.959, 0.283, 0.324], [0.959, 0.634, 0.676], [0.366, 0.041, 0.324], [0.717, 0.041, 0.676], [0.873, 0.664, 0.209], [0.336, 0.545, 0.209], [0.336, 0.127, 0.791], [0.250, 0.750, 0.500], [0.750, 0.250, 0.500], [0.500, 0.500, 0.000], [0.000, 0.000, 0.000]], "crystal_system": "tetragonal", "total_magnetization_mub_per_atom": 0.00, "n_ef_per_ev_cell": 2.00, "total_energy_ev_per_atom": -7.003}